# 1
Ac3Cd2Au4 (PBE, optimized geometry); D(E_F) = 5.4 states/eV per cell; polymorph energy (0 for the lowest one) = 46.8 meV per atom; density = 11.185 g/cm3; M_tot = 0.0 μB/f.u.; electronic total energy = -3.68 eV/atom
1.0
5.480 -2.354 0.000
5.480 2.354 0.000
-0.382 0.000 9.747
Ac Cd Au
3 2 4
Direct
0.000 0.000 0.000
0.371 0.371 0.620
0.629 0.629 0.380
0.325 0.325 0.226
0.675 0.675 0.774
0.077 0.077 0.630
0.303 0.303 0.926
0.697 0.697 0.074
0.923 0.923 0.370

# 2
Pm12Er6In (PBE, optimized geometry); D(E_F) = 29.8 states/eV per cell; polymorph energy (0 for the lowest one) = 0.0 meV per atom; density = 7.528 g/cm3; M_tot = 0.0 μB/f.u.; electronic total energy = -4.52 eV/atom
1.0
5.996 3.462 5.062
-5.996 3.462 5.062
0.000 -6.924 5.062
Pm Er In
12 6 1
Direct
0.038 0.932 0.285
0.068 0.715 0.962
0.137 0.484 0.320
0.285 0.038 0.932
0.320 0.137 0.484
0.484 0.320 0.137
0.516 0.680 0.863
0.680 0.863 0.516
0.715 0.962 0.068
0.863 0.516 0.680
0.932 0.285 0.038
0.962 0.068 0.715
0.215 0.756 0.600
0.244 0.400 0.785
0.400 0.785 0.244
0.600 0.215 0.756
0.756 0.600 0.215
0.785 0.244 0.400
0.500 0.500 0.500

# 3
ErTmGe2 (PBE, optimized geometry); D(E_F) = 3.3 states/eV per cell; polymorph energy (0 for the lowest one) = 215.6 meV per atom; density = 8.286 g/cm3; M_tot = 0.0 μB/f.u.; electronic total energy = -5.20 eV/atom
1.0
1.920 1.108 7.558
-1.920 1.108 7.558
0.000 -2.217 7.558
Er Tm Ge
1 1 2
Direct
0.000 0.000 0.000
0.500 0.500 0.500
0.250 0.250 0.250
0.750 0.750 0.750

# 4
Sc4AlZn2Ag (PBE, optimized geometry); D(E_F) = 5.2 states/eV per cell; density = 4.776 g/cm3; M_tot = 0.0 μB/f.u.; electronic total energy = -4.68 eV/atom
1.0
2.392 1.381 7.818
-2.392 1.381 7.818
0.000 -2.762 7.818
Sc Al Zn Ag
4 1 2 1
Direct
0.125 0.125 0.125
0.375 0.375 0.375
0.625 0.625 0.625
0.875 0.875 0.875
0.000 0.000 0.000
0.251 0.251 0.251
0.749 0.749 0.749
0.500 0.500 0.500

# 5
Cu12HgPt6 (PBE, optimized geometry); D(E_F) = 7.8 states/eV per cell; density = 12.180 g/cm3; M_tot = 0.0 μB/f.u.; electronic total energy = -4.40 eV/atom
1.0
5.589 3.227 2.688
-5.589 3.227 2.688
0.000 -6.453 2.688
Cu Hg Pt
12 1 6
Direct
0.000 0.390 0.610
0.000 0.610 0.390
0.155 0.155 0.401
0.155 0.401 0.155
0.390 0.000 0.610
0.390 0.610 0.000
0.401 0.155 0.155
0.599 0.845 0.845
0.610 0.000 0.390
0.610 0.390 0.000
0.845 0.599 0.845
0.845 0.845 0.599
0.500 0.500 0.500
0.193 0.803 0.803
0.197 0.197 0.807
0.197 0.807 0.197
0.803 0.193 0.803
0.803 0.803 0.193
0.807 0.197 0.197

# 6
Tb7HgS5 (PBE, optimized geometry); D(E_F) = 11.3 states/eV per cell; density = 8.044 g/cm3; M_tot = 0.0 μB/f.u.; E_form (uncorrected) = -1649 meV per atom; electronic total energy = -5.75 eV/atom
1.0
6.502 -1.977 0.000
6.502 1.977 0.000
-0.013 0.000 23.658
Tb Hg S
14 2 10
Direct
0.024 0.024 0.250
0.136 0.136 0.536
0.136 0.136 0.964
0.322 0.322 0.327
0.323 0.323 0.173
0.409 0.409 0.608
0.409 0.409 0.892
0.591 0.591 0.108
0.591 0.591 0.392
0.677 0.677 0.827
0.678 0.678 0.673
0.864 0.864 0.036
0.864 0.864 0.464
0.976 0.976 0.750
0.296 0.296 0.750
0.704 0.704 0.250
0.044 0.044 0.640
0.044 0.044 0.860
0.227 0.227 0.070
0.227 0.227 0.430
0.500 0.500 0.000
0.500 0.500 0.500
0.773 0.773 0.570
0.773 0.773 0.930
0.956 0.956 0.140
0.956 0.956 0.360

What is the density in the fourth record?
4.776 g/cm3